1.
The following is a DFT calculation (PBE) of a geometry-optimized CaSi3Ir2 structure.

**VASP energy**: -6.688 eV per atom
**Energy relative to the elements, uncorrected**: -0.69 eV/atom
**Magnetization**: 0.0 μB/cell
**SG**: C2/m, No. 12

Cell and atoms, written as POSCAR:
```
CaSi3Ir2
1.0
7.996 -1.980 0.000
7.996 1.980 0.000
-2.089 0.000 9.328
Ca Si Ir
3 9 6
Cartesian
0.000 0.000 0.000 Ca
0.972 0.000 6.527 Ca
12.931 0.000 2.801 Ca
-0.031 0.000 3.427 Si
2.792 0.000 3.468 Si
5.537 0.000 0.663 Si
4.067 0.000 7.618 Si
6.951 0.000 4.664 Si
9.836 0.000 1.711 Si
8.366 0.000 8.665 Si
11.111 0.000 5.860 Si
13.934 0.000 5.901 Si
3.136 0.000 0.870 Ir
4.486 0.000 5.222 Ir
7.362 0.000 2.202 Ir
6.541 0.000 7.126 Ir
9.417 0.000 4.107 Ir
10.767 0.000 8.458 Ir
```

---

2.
The following is a DFT calculation (PBE) of a geometry-optimized CaSi3Ir3 structure.

**VASP energy**: -6.867 eV per atom
**Energy relative to the elements, uncorrected**: -0.46 eV/atom
**Magnetization**: 0.0 μB/cell
**SG**: Pm-3n, No. 223

Cell and atoms, written as POSCAR:
```
CaSi3Ir3
1.0
6.581 0.000 0.000
0.000 6.581 0.000
0.000 0.000 6.581
Ca Si Ir
2 6 6
Cartesian
0.000 0.000 0.000 Ca
3.291 3.291 3.291 Ca
0.000 1.645 3.291 Si
0.000 4.936 3.291 Si
1.645 3.291 0.000 Si
3.291 0.000 1.645 Si
3.291 0.000 4.936 Si
4.936 3.291 0.000 Si
0.000 3.291 1.645 Ir
0.000 3.291 4.936 Ir
1.645 0.000 3.291 Ir
3.291 1.645 0.000 Ir
3.291 4.936 0.000 Ir
4.936 0.000 3.291 Ir
```

---

3.
The following is a DFT calculation (PBE) of a geometry-optimized CaSiIr2 structure.

**VASP energy**: -6.735 eV per atom
**Energy relative to the elements, uncorrected**: -0.45 eV/atom
**Magnetization**: 0.0 μB/cell
**SG**: P4/nmm, No. 129

Cell and atoms, written as POSCAR:
```
CaSiIr2
1.0
4.014 0.000 0.000
0.000 4.014 0.000
0.000 0.000 9.153
Ca Si Ir
2 2 4
Cartesian
1.004 1.004 1.960 Ca
3.011 3.011 7.193 Ca
1.004 1.004 5.905 Si
3.011 3.011 3.248 Si
1.004 1.004 8.184 Ir
1.004 3.011 4.576 Ir
3.011 1.004 4.576 Ir
3.011 3.011 0.969 Ir
```

---

4.
The following is a DFT calculation (PBE) of a geometry-optimized CaSiIr4 structure.

**VASP energy**: -7.072 eV per atom
**Energy relative to the elements, uncorrected**: 0.07 eV/atom
**Magnetization**: 0.0 μB/cell
**SG**: F-43m, No. 216

Cell and atoms, written as POSCAR:
```
CaSiIr4
1.0
0.000 3.729 3.729
3.729 0.000 3.729
3.729 3.729 0.000
Ca Si Ir
1 1 4
Cartesian
0.000 0.000 0.000 Ca
1.864 1.864 1.864 Si
4.658 2.799 2.799 Ir
2.799 4.658 2.799 Ir
2.799 2.799 4.658 Ir
4.658 4.658 4.658 Ir
```

---

5.
The following is a DFT calculation (PBE) of a geometry-optimized CaSiIr2 structure.

**VASP energy**: -6.464 eV per atom
**Energy relative to the elements, uncorrected**: -0.18 eV/atom
**Magnetization**: 0.0 μB/cell
**SG**: P4mm, No. 99

Cell and atoms, written as POSCAR:
```
CaSiIr2
1.0
2.931 0.000 0.000
0.000 2.931 0.000
0.000 0.000 7.817
Ca Si Ir
1 1 2
Cartesian
0.000 0.000 0.000 Ca
1.465 1.465 5.474 Si
0.000 0.000 4.095 Ir
1.465 1.465 2.188 Ir
```

---

6.
The following is a DFT calculation (PBE) of a geometry-optimized CaSiIr2 structure.

**VASP energy**: -6.398 eV per atom
**Energy relative to the elements, uncorrected**: -0.11 eV/atom
**Magnetization**: 0.0 μB/cell
**SG**: R-3m, No. 166

Cell and atoms, written as POSCAR:
```
CaSiIr2
1.0
1.633 0.943 7.755
-1.633 0.943 7.755
0.000 -1.886 7.755
Ca Si Ir
1 1 2
Cartesian
0.000 0.000 0.000 Ca
0.000 0.000 11.632 Si
0.000 0.000 5.389 Ir
0.000 0.000 17.876 Ir
```

---

7.
The following is a DFT calculation (PBE) of a geometry-optimized CaSi4Ir6 structure.

**VASP energy**: -7.745 eV per atom
**Energy relative to the elements, uncorrected**: -0.76 eV/atom
**Magnetization**: 0.0 μB/cell
**SG**: P-6m2, No. 187

Cell and atoms, written as POSCAR:
```
CaSi4Ir6
1.0
7.059 0.000 0.000
-3.529 6.113 0.000
0.000 0.000 3.823
Ca Si Ir
1 4 6
Cartesian
0.000 0.000 0.000 Ca
0.000 4.075 0.000 Si
2.081 1.201 1.911 Si
4.978 1.201 1.911 Si
3.529 3.710 1.911 Si
0.000 2.427 1.911 Ir
-1.428 4.900 1.911 Ir
3.529 0.407 0.000 Ir
2.118 2.853 0.000 Ir
1.428 4.900 1.911 Ir
4.941 2.853 0.000 Ir
```

---

8.
The following is a DFT calculation (PBE) of a geometry-optimized CaSiIr2 structure.

**VASP energy**: -6.346 eV per atom
**Energy relative to the elements, uncorrected**: -0.06 eV/atom
**Magnetization**: 0.0 μB/cell
**SG**: I-4m2, No. 119

Cell and atoms, written as POSCAR:
```
CaSiIr2
1.0
-1.923 1.923 4.351
1.923 -1.923 4.351
1.923 1.923 -4.351
Ca Si Ir
1 1 2
Cartesian
0.000 0.000 0.000 Ca
0.000 1.923 2.175 Si
1.923 0.000 2.175 Ir
0.000 0.000 4.351 Ir
```

---

9.
The following is a DFT calculation (PBE) of a geometry-optimized Ca2Si7Ir12 structure.

**VASP energy**: -7.786 eV per atom
**Energy relative to the elements, uncorrected**: -0.72 eV/atom
**Magnetization**: 0.0 μB/cell
**SG**: P-6, No. 174

Cell and atoms, written as POSCAR:
```
Ca2Si7Ir12
1.0
9.702 0.000 0.000
-4.851 8.403 0.000
0.000 0.000 3.923
Ca Si Ir
2 7 12
Cartesian
0.000 0.000 0.000 Ca
0.000 5.602 1.961 Ca
-1.430 3.795 0.000 Si
1.492 1.830 1.961 Si
-0.849 7.743 0.000 Si
2.279 5.266 0.000 Si
4.851 2.801 0.000 Si
7.372 0.377 1.961 Si
5.690 6.196 1.961 Si
-0.837 2.358 1.961 Ir
-2.437 5.943 0.000 Ir
-2.391 7.948 1.961 Ir
0.922 3.321 0.000 Ir
2.963 1.479 0.000 Ir
3.126 3.617 1.961 Ir
5.007 0.899 1.961 Ir
1.514 7.541 0.000 Ir
3.227 6.499 1.961 Ir
4.650 5.097 0.000 Ir
6.941 1.826 0.000 Ir
6.421 3.887 1.961 Ir
```

---

10.
The following is a DFT calculation (PBE) of a geometry-optimized Ca3Si3Ir structure.

**VASP energy**: -5.080 eV per atom
**Energy relative to the elements, uncorrected**: -0.63 eV/atom
**Magnetization**: 0.0 μB/cell
**SG**: Cmcm, No. 63

Cell and atoms, written as POSCAR:
```
Ca3Si3Ir
1.0
2.090 -5.343 0.000
2.090 5.343 0.000
0.000 0.000 13.182
Ca Si Ir
6 6 2
Cartesian
2.090 5.172 9.887 Ca
2.090 2.421 1.352 Ca
2.090 2.421 5.239 Ca
2.090 -2.421 7.944 Ca
2.090 -2.421 11.830 Ca
2.090 -5.172 3.296 Ca
2.090 2.004 9.887 Si
2.090 0.652 7.757 Si
2.090 0.652 12.017 Si
2.090 -0.652 1.166 Si
2.090 -0.652 5.426 Si
2.090 -2.004 3.296 Si
0.000 0.000 0.000 Ir
0.000 0.000 6.591 Ir
```

---

11.
The following is a DFT calculation (PBE) of a geometry-optimized CaSi7Ir3 structure.

**VASP energy**: -6.687 eV per atom
**Energy relative to the elements, uncorrected**: -0.64 eV/atom
**Magnetization**: 0.0 μB/cell
**SG**: R-3c, No. 167

Cell and atoms, written as POSCAR:
```
CaSi7Ir3
1.0
3.820 2.205 6.719
-3.820 2.205 6.719
0.000 -4.411 6.719
Ca Si Ir
2 14 6
Cartesian
0.000 0.000 0.000 Ca
0.000 0.000 10.078 Ca
-2.993 -0.947 10.676 Si
-0.676 -3.066 9.480 Si
-0.676 -1.345 7.317 Si
0.000 0.000 5.039 Si
-2.317 2.119 9.480 Si
-0.827 1.258 7.317 Si
-1.503 -0.087 12.839 Si
1.503 0.087 7.317 Si
0.827 -1.258 12.839 Si
2.317 -2.119 10.676 Si
0.000 0.000 15.117 Si
0.676 1.345 12.839 Si
0.676 3.066 10.676 Si
2.993 0.947 9.480 Si
-2.598 -0.089 8.398 Ir
-1.222 -2.294 11.758 Ir
1.376 -2.205 8.398 Ir
-1.376 2.205 11.758 Ir
1.222 2.294 8.398 Ir
2.598 0.089 11.758 Ir
```

---

12.
The following is a DFT calculation (PBE) of a geometry-optimized CaSiIr2 structure.

**VASP energy**: -6.472 eV per atom
**Energy relative to the elements, uncorrected**: -0.18 eV/atom
**Magnetization**: 0.0 μB/cell
**SG**: Pmm2, No. 25

Cell and atoms, written as POSCAR:
```
CaSiIr2
1.0
2.844 0.000 0.000
0.000 3.916 0.000
0.000 0.000 6.178
Ca Si Ir
1 1 2
Cartesian
0.000 0.000 0.000 Ca
1.422 1.958 4.095 Si
0.000 0.000 3.246 Ir
1.422 1.958 1.738 Ir
```

---

What is the VASP energy in the third record?
-6.735 eV per atom

---

Repeat the seventh record exactly.
The following is a DFT calculation (PBE) of a geometry-optimized CaSi4Ir6 structure.

**VASP energy**: -7.745 eV per atom
**Energy relative to the elements, uncorrected**: -0.76 eV/atom
**Magnetization**: 0.0 μB/cell
**SG**: P-6m2, No. 187

Cell and atoms, written as POSCAR:
```
CaSi4Ir6
1.0
7.059 0.000 0.000
-3.529 6.113 0.000
0.000 0.000 3.823
Ca Si Ir
1 4 6
Cartesian
0.000 0.000 0.000 Ca
0.000 4.075 0.000 Si
2.081 1.201 1.911 Si
4.978 1.201 1.911 Si
3.529 3.710 1.911 Si
0.000 2.427 1.911 Ir
-1.428 4.900 1.911 Ir
3.529 0.407 0.000 Ir
2.118 2.853 0.000 Ir
1.428 4.900 1.911 Ir
4.941 2.853 0.000 Ir
```